(1)
This record from the Alexandria database describes a relaxed Ta2AsPb crystal. The functional is PBE-GGA.

Properties
**Energy relative to the lowest polymorph listed for this composition**: 194 meV/atom
**ΔH_f (0 K)**: 63 kJ/mol of formula units
**Crystal system**: tetragonal
**Calculated volume**: 77.9 Å³/cell

abc: 3.2536 3.2536 7.3564
angles: 90.00 90.00 90.00
Closest atoms and distances in Å follow each position.
Sites, in units of the cell vectors:
Pb 0.5000 0.5000 0.7500  8 Ta 3.20, 4 Pb 3.25
As 0.5000 0.5000 0.2500  8 Ta 2.72
Ta 0.0000 0.0000 0.0525  4 As 2.72, 1 Ta 2.91
Ta 0.0000 0.0000 0.4475  4 As 2.72, 1 Ta 2.91



(2)
This record from the Alexandria database describes a relaxed Tb3Sm3Sc crystal. The functional is PBE-GGA.

Properties
**Energy relative to the lowest polymorph listed for this composition**: 232 meV/atom
**ΔH_f (0 K)**: 178 kJ/mol of formula units
**Crystal system**: trigonal
**Calculated volume**: 460.6 Å³/cell

abc: 8.7464 8.7464 8.7464
angles: 58.85 58.85 58.85
Closest atoms and distances in Å follow each position.
Sites, in units of the cell vectors:
Tb 0.7250 0.5658 0.0627  4 Sm 3.22-3.56, 1 Sc 3.53
Tb 0.0627 0.7250 0.5658  4 Sm 3.22-3.56, 1 Sc 3.53
Tb 0.5658 0.0627 0.7250  4 Sm 3.22-3.56, 1 Sc 3.53
Tb 0.4342 0.9373 0.2750  4 Sm 3.22-3.56, 1 Sc 3.53
Tb 0.9373 0.2750 0.4342  4 Sm 3.22-3.56, 1 Sc 3.53
Tb 0.2750 0.4342 0.9373  4 Sm 3.22-3.56, 1 Sc 3.53
Sm 0.7066 0.1893 0.9323  4 Tb 3.22-3.56, 4 Sm 3.23-3.60, 1 Sc 3.42
Sm 0.1893 0.9323 0.7066  4 Tb 3.22-3.56, 4 Sm 3.23-3.60, 1 Sc 3.42
Sm 0.9323 0.7066 0.1893  4 Tb 3.22-3.56, 4 Sm 3.23-3.60, 1 Sc 3.42
Sm 0.0677 0.2934 0.8107  4 Tb 3.22-3.56, 4 Sm 3.23-3.60, 1 Sc 3.42
Sm 0.8107 0.0677 0.2934  4 Tb 3.22-3.56, 4 Sm 3.23-3.60, 1 Sc 3.42
Sm 0.2934 0.8107 0.0677  4 Tb 3.22-3.56, 4 Sm 3.23-3.60, 1 Sc 3.42
Sc 0.3442 0.3442 0.3442  6 Sm 3.42-3.69, 6 Tb 3.53-3.76
Sc 0.6558 0.6558 0.6558  6 Sm 3.42-3.69, 6 Tb 3.53-3.76



(3)
This record from the Alexandria database describes a relaxed PmSm2HoBi5 crystal. The functional is PBE-GGA.

Properties
**ΔH_f (0 K)**: -89 kJ/mol of formula units
**Crystal system**: tetragonal
**Calculated volume**: 351.1 Å³/cell

abc: 5.3967 5.3967 12.0542
angles: 90.00 90.00 90.00
Closest atoms and distances in Å follow each position.
Sites, in units of the cell vectors:
Pm 0.0000 0.0000 0.0000  2 Bi 3.00
Sm 0.5000 0.5000 0.2694  1 Bi 3.25
Sm 0.5000 0.5000 0.7306  1 Bi 3.25
Ho 0.0000 0.0000 0.5000  4 Bi 2.70
Bi 0.0000 0.5000 0.5000  2 Ho 2.70
Bi 0.5000 0.0000 0.5000  2 Ho 2.70
Bi 0.0000 0.0000 0.7511  1 Pm 3.00, 1 Ho 3.03
Bi 0.0000 0.0000 0.2489  1 Pm 3.00, 1 Ho 3.03
Bi 0.5000 0.5000 0.0000  2 Sm 3.25



(4)
This record from the Alexandria database describes a relaxed CaCe4S5 crystal. The functional is PBE-GGA.

Properties
**Energy relative to the elements, uncorrected**: -2.022 eV/atom
**Crystal system**: tetragonal
**Calculated volume**: 231.0 Å³/cell

abc: 5.6925 6.9775 6.9775
angles: 80.42 65.93 65.93
Closest atoms and distances in Å follow each position.
Sites, in units of the cell vectors:
Ca 0.0012 0.0000 0.0000  6 S 2.82-2.85
Ce 0.4010 0.4017 0.7982  6 S 2.84-2.87
Ce 0.8028 0.7982 0.5983  6 S 2.84-2.87
Ce 0.1992 0.2018 0.4017  6 S 2.84-2.87
Ce 0.6010 0.5983 0.2018  6 S 2.84-2.87
S 0.9011 0.3964 0.8033  1 Ca 2.82, 5 Ce 2.84-2.87
S 0.2975 0.8033 0.6036  1 Ca 2.82, 5 Ce 2.84-2.87
S 0.7044 0.1967 0.3964  1 Ca 2.82, 5 Ce 2.84-2.87
S 0.1008 0.6036 0.1967  1 Ca 2.82, 5 Ce 2.84-2.87
S 0.5012 0.0000 0.0000  2 Ca 2.85, 4 Ce 2.86



(5)
This record from the Alexandria database describes a relaxed La2NdY5 crystal. The functional is PBE-GGA.

Properties
**Energy relative to the lowest polymorph listed for this composition**: 122 meV/atom
**ΔH_f (0 K)**: 104 kJ/mol of formula units
**Crystal system**: orthorhombic
**Calculated volume**: 551.1 Å³/cell

abc: 5.7055 6.6535 16.0693
angles: 90.00 90.00 115.39
Closest atoms and distances in Å follow each position.
Sites, in units of the cell vectors:
La 0.7841 0.5682 0.3712  5 Y 3.34-3.62, 2 Nd 3.47
La 0.7841 0.5682 0.1288  5 Y 3.34-3.62, 2 Nd 3.47
La 0.2159 0.4318 0.6288  5 Y 3.34-3.62, 2 Nd 3.47
La 0.2159 0.4318 0.8712  5 Y 3.34-3.62, 2 Nd 3.47
Nd 0.7404 0.4808 0.7500  5 Y 3.35-3.55, 4 La 3.47
Nd 0.2596 0.5192 0.2500  5 Y 3.35-3.55, 4 La 3.47
Y 0.9192 0.8384 0.9111  1 Nd 3.36, 6 Y 3.46-3.76, 1 La 3.62
Y 0.9192 0.8384 0.5889  1 Nd 3.36, 6 Y 3.46-3.76, 1 La 3.62
Y 0.3836 0.7671 0.4504  1 Y 3.22, 3 La 3.34-3.50, 1 Nd 3.55
Y 0.3836 0.7671 0.0496  1 Y 3.22, 3 La 3.34-3.50, 1 Nd 3.55
Y 0.5380 0.0760 0.2500  1 Nd 3.35, 2 La 3.54, 2 Y 3.72
Y 0.4620 0.9240 0.7500  1 Nd 3.35, 2 La 3.54, 2 Y 3.72
Y 0.6164 0.2329 0.5496  1 Y 3.22, 3 La 3.34-3.50, 1 Nd 3.55
Y 0.6164 0.2329 0.9504  1 Y 3.22, 3 La 3.34-3.50, 1 Nd 3.55
Y 0.0808 0.1616 0.0889  1 Nd 3.36, 6 Y 3.46-3.76, 1 La 3.62
Y 0.0808 0.1616 0.4111  1 Nd 3.36, 6 Y 3.46-3.76, 1 La 3.62



(6)
This record from the Alexandria database describes a relaxed Ac3Si3Ge2 crystal. The functional is PBE-GGA.

Properties
**Energy relative to the elements, uncorrected**: -0.550 eV/atom
**Crystal system**: orthorhombic
**Calculated volume**: 422.0 Å³/cell

abc: 4.5021 6.1924 16.2495
angles: 90.00 90.00 111.32
Closest atoms and distances in Å follow each position.
Sites, in units of the cell vectors:
Ac 0.8496 0.6992 0.4111  4 Ge 3.34-3.38, 7 Si 3.35-3.57
Ac 0.1504 0.3008 0.9111  4 Ge 3.34-3.38, 7 Si 3.35-3.57
Ac 0.8496 0.6992 0.0889  4 Ge 3.34-3.38, 7 Si 3.35-3.57
Ac 0.1504 0.3008 0.5889  4 Ge 3.34-3.38, 7 Si 3.35-3.57
Ac 0.5544 0.1088 0.2500  5 Si 3.12-3.37, 4 Ge 3.25
Ac 0.4456 0.8912 0.7500  5 Si 3.12-3.37, 4 Ge 3.25
Si 0.5597 0.1194 0.4419  1 Si 2.34
Si 0.4403 0.8806 0.9419  1 Si 2.34
Si 0.5597 0.1194 0.0581  1 Si 2.34
Si 0.4403 0.8806 0.5581  1 Si 2.34
Si 0.2715 0.5430 0.2500  2 Ge 2.62
Si 0.7285 0.4570 0.7500  2 Ge 2.62
Ge 0.8603 0.7206 0.8814  3 Si 2.62
Ge 0.1397 0.2794 0.3814  3 Si 2.62
Ge 0.8603 0.7206 0.6186  3 Si 2.62
Ge 0.1397 0.2794 0.1186  3 Si 2.62